1.
VASP calculation (GGA-PBE) on crystalline NdGeRh at its relaxed geometry.

The total energy comes out at -77.70 eV/cell. For the density of states at the Fermi level, the calculation gives 0.6396 states/eV/atom.

It has space group Pnma (No. 62), with a = 7.2736 Å, b = 4.4820 Å, c = 7.4256 Å, α = 90.00°, β = 90.00° and γ = 90.00°. The distinct sites, in fractional coordinates, are Nd at (0.0128, 0.2500, 0.1866), Ge at (0.2002, 0.2500, 0.6044) and Rh at (0.1502, 0.7500, 0.4284).

---

2.
VASP calculation (GGA-PBE) on crystalline LiLaZnRu at its relaxed geometry.

The total energy comes out at -70.61 eV/cell. For the density of states at the Fermi level, the calculation gives 0.4770 states/eV/atom.

It has space group F-43m (No. 216), with a = 6.7032 Å, b = 6.7032 Å, c = 6.7032 Å, α = 90.00°, β = 90.00° and γ = 90.00°. The distinct sites, in fractional coordinates, are Li at (0.0000, 0.0000, 0.0000), La at (0.2500, 0.2500, 0.7500), Zn at (0.2500, 0.2500, 0.2500) and Ru at (0.0000, 0.0000, 0.5000).

---

What is the formula in the first record? NdGeRh

---

Number 2 is which compound? LiLaZnRu

---

Number 1 is which compound? NdGeRh